Compound: TaTc2Rh
Source: the Alexandria database
Functional: PBE
Structure: relaxed

Symmetry   F-43m, No. 216
Energy   -9.970 eV/atom
Excess energy over the best structure of this formula in the dataset   210 meV/atom

Lattice parameters (Å, degrees): 4.443 4.443 4.443 60.00 60.00 60.00
Fractional positions:
Ta 0.000 0.000 0.000
Tc 0.250 0.250 0.250
Tc 0.500 0.500 0.500
Rh 0.750 0.750 0.750

Compound: TaTcRh
Source: the Alexandria database
Functional: PBE
Structure: relaxed

Symmetry   C2/m, No. 12
Energy   -10.143 eV/atom
Excess energy over the best structure of this formula in the dataset   0 meV/atom

Lattice parameters (Å, degrees): 6.875 6.875 4.541 98.26 98.26 26.22
Fractional positions:
Ta 0.087 0.087 0.297
Ta 0.913 0.913 0.703
Tc 0.419 0.419 0.206
Tc 0.581 0.581 0.794
Rh 0.248 0.248 0.760
Rh 0.752 0.752 0.240